1.
A relaxed structure of Pm3Sm2TaN6. Source: the Alexandria database, functional GGA-PBE.

Geometry as POSCAR:
```
Pm3Sm2TaN6
1.0
6.0609 0.0016 0.0020
-3.0276 5.2505 0.0020
-1.0100 -1.7488 5.7044
N Pm Sm Ta
6 3 2 1
direct
0.0751 0.3749 0.2245
0.7749 0.7749 0.2313
0.9249 0.6251 0.7755
0.6251 0.9249 0.7755
0.3749 0.0751 0.2245
0.2251 0.2251 0.7687
0.8346 0.1654 0.5000
0.5000 0.5000 0.5000
0.1654 0.8346 0.5000
0.6668 0.3332 0.0000
0.3332 0.6668 0.0000
0.0000 0.0000 0.0000
```

Calculated values
- Magnetic moment: 0.00 Bohr magnetons per cell
- Formation energy (no corrections): -1404 meV/atom


2.
A relaxed structure of Pm2SmTaN4. Source: the Alexandria database, functional GGA-PBE.

Geometry as POSCAR:
```
Pm2SmTaN4
1.0
3.4224 0.0000 0.0000
0.0000 5.9861 0.1341
0.0000 -2.0646 5.6397
N Sm Pm Ta
4 1 2 1
direct
0.0000 0.7748 0.2225
0.5000 0.7834 0.7846
0.5000 0.2166 0.2154
0.0000 0.2252 0.7775
0.5000 0.5000 0.0000
0.5000 0.0000 0.5000
0.0000 0.5000 0.5000
0.0000 0.0000 0.0000
```

Calculated values
- Magnetic moment: 0.00 Bohr magnetons per cell
- Formation energy (no corrections): -1333 meV/atom


3.
A relaxed structure of PmSm2TaN4. Source: the Alexandria database, functional GGA-PBE.

Geometry as POSCAR:
```
PmSm2TaN4
1.0
3.4219 0.0000 0.0000
0.0000 5.9928 0.1354
0.0000 -2.0654 5.6092
Ta N Pm Sm
1 4 1 2
direct
0.0000 0.0000 0.0000
0.0000 0.7770 0.2258
0.0000 0.2230 0.7742
0.5000 0.7829 0.7817
0.5000 0.2171 0.2183
0.5000 0.5000 0.0000
0.5000 0.0000 0.5000
0.0000 0.5000 0.5000
```

Calculated values
- Magnetic moment: 0.00 Bohr magnetons per cell
- Formation energy (no corrections): -1336 meV/atom


4.
A relaxed structure of TbPmSm2N4. Source: the Alexandria database, functional GGA-PBE.

Geometry as POSCAR:
```
TbPmSm2N4
1.0
3.5740 0.0000 0.0000
0.0000 6.1860 0.1110
0.0000 -2.1616 5.7964
Sm N Tb Pm
2 4 1 1
direct
0.5000 0.0000 0.5000
0.0000 0.5000 0.5000
0.5000 0.7470 0.7509
0.0000 0.2541 0.7531
0.0000 0.7459 0.2469
0.5000 0.2530 0.2491
0.5000 0.5000 0.0000
0.0000 0.0000 0.0000
```

Calculated values
- Magnetic moment: 0.00 Bohr magnetons per cell
- Formation energy (no corrections): -1509 meV/atom


5.
A relaxed structure of Pm2SmTcN4. Source: the Alexandria database, functional GGA-PBE.

Geometry as POSCAR:
```
Pm2SmTcN4
1.0
-1.5079 -0.3978 -3.1327
-0.3521 -5.5313 2.8263
-10.5643 3.0715 4.6948
N Tc Pm Sm
8 2 4 2
direct
0.5641 0.1283 0.2500
0.7326 0.4653 0.8649
0.0000 0.0000 0.5000
0.2674 0.5347 0.1351
0.4359 0.8717 0.7500
0.2674 0.5347 0.3649
0.0000 0.0000 0.0000
0.7326 0.4653 0.6351
0.1424 0.2847 0.2500
0.8576 0.7153 0.7500
0.3680 0.7360 0.9599
0.6320 0.2640 0.0401
0.3680 0.7360 0.5401
0.6320 0.2640 0.4599
0.8735 0.7469 0.2500
0.1265 0.2531 0.7500
```

Calculated values
- Magnetic moment: 0.00 Bohr magnetons per cell
- Formation energy (no corrections): -948 meV/atom


6.
A relaxed structure of Pm2Sm4Te3N2. Source: the Alexandria database, functional GGA-PBE.

Geometry as POSCAR:
```
Pm2Sm4Te3N2
1.0
-4.3261 -1.0622 1.4365
1.3746 -4.3829 0.8988
4.6747 6.2340 11.0633
Sm Te N Pm
4 3 2 2
direct
0.0830 0.5830 0.1660
0.4170 0.9170 0.8340
0.9170 0.4170 0.8340
0.5830 0.0830 0.1660
0.8223 0.8223 0.6447
0.0000 0.0000 0.0000
0.1777 0.1777 0.3553
0.6071 0.6071 0.2142
0.3929 0.3929 0.7858
0.3053 0.3053 0.6106
0.6947 0.6947 0.3894
```

Calculated values
- Magnetic moment: 0.00 Bohr magnetons per cell
- Formation energy (no corrections): -1177 meV/atom


7.
A relaxed structure of Pm3SmTh2N6. Source: the Alexandria database, functional GGA-PBE.

Geometry as POSCAR:
```
Pm3SmTh2N6
1.0
-2.6559 -3.4846 -4.5114
6.2466 -0.0277 0.7270
-1.6549 -3.3637 5.0321
Th N Sm Pm
2 6 1 3
direct
0.3330 0.6670 0.0000
0.6670 0.3330 0.0000
0.4190 0.0805 0.2413
0.0805 0.4190 0.2413
0.2579 0.2579 0.7576
0.5810 0.9195 0.7587
0.7421 0.7421 0.2424
0.9195 0.5810 0.7587
0.0000 0.0000 0.0000
0.5000 0.5000 0.5000
0.1651 0.8349 0.5000
0.8349 0.1651 0.5000
```

Calculated values
- Magnetic moment: 0.00 Bohr magnetons per cell
- Formation energy (no corrections): -1541 meV/atom


8.
A relaxed structure of PmSm3Th2N6. Source: the Alexandria database, functional GGA-PBE.

Geometry as POSCAR:
```
PmSm3Th2N6
1.0
3.6279 0.0000 0.0000
0.0000 7.2271 0.2672
-1.8139 -2.0730 7.5964
Pm Th N Sm
1 2 6 3
direct
0.5000 0.0000 0.0000
0.8348 0.6704 0.6696
0.1652 0.3296 0.3304
0.3318 0.4221 0.6635
0.9969 0.7467 0.9939
0.6671 0.0894 0.3342
0.3329 0.9106 0.6658
0.6682 0.5779 0.3365
0.0031 0.2533 0.0061
0.8352 0.1653 0.6705
0.1648 0.8347 0.3295
0.5000 0.5000 0.0000
```

Calculated values
- Magnetic moment: 0.00 Bohr magnetons per cell
- Formation energy (no corrections): -1545 meV/atom


9.
A relaxed structure of PmSm2Th3N6. Source: the Alexandria database, functional GGA-PBE.

Geometry as POSCAR:
```
PmSm2Th3N6
1.0
-0.5984 -3.0612 1.8789
6.6352 0.4624 2.8665
-4.1475 5.5674 4.2213
Sm N Pm Th
2 6 1 3
direct
0.1667 0.3334 0.3335
0.8333 0.6666 0.6665
0.3351 0.4120 0.6701
0.3305 0.9209 0.6611
0.6695 0.0791 0.3389
0.6649 0.5880 0.3299
0.0018 0.7433 0.0036
0.9982 0.2567 0.9964
0.5000 0.0000 0.0000
0.5000 0.5000 0.0000
0.8333 0.1668 0.6665
0.1667 0.8332 0.3335
```

Calculated values
- Magnetic moment: 0.00 Bohr magnetons per cell
- Formation energy (no corrections): -1554 meV/atom


10.
A relaxed structure of Pm2SmThN4. Source: the Alexandria database, functional GGA-PBE.

Geometry as POSCAR:
```
Pm2SmThN4
1.0
3.6283 0.0000 0.0000
0.0000 6.2608 0.1135
0.0000 -2.1853 5.8722
N Th Pm Sm
4 1 2 1
direct
0.5000 0.7466 0.7558
0.0000 0.2563 0.7576
0.5000 0.2534 0.2442
0.0000 0.7437 0.2424
0.5000 0.5000 0.0000
0.5000 0.0000 0.5000
0.0000 0.5000 0.5000
0.0000 0.0000 0.0000
```

Calculated values
- Magnetic moment: 0.00 Bohr magnetons per cell
- Formation energy (no corrections): -1528 meV/atom


11.
A relaxed structure of Pm2SmTh3N6. Source: the Alexandria database, functional GGA-PBE.

Geometry as POSCAR:
```
Pm2SmTh3N6
1.0
6.3137 0.0019 0.0006
-3.1537 5.4696 0.0006
-1.0537 -1.8245 5.9134
Th Pm N Sm
3 2 6 1
direct
0.8333 0.1667 0.5000
0.5000 0.5000 0.5000
0.1667 0.8333 0.5000
0.3334 0.6666 0.0000
0.6666 0.3334 0.0000
0.7550 0.7550 0.2607
0.5815 0.9132 0.7396
0.4185 0.0868 0.2604
0.0868 0.4185 0.2604
0.2450 0.2450 0.7393
0.9132 0.5815 0.7396
0.0000 0.0000 0.0000
```

Calculated values
- Magnetic moment: 0.00 Bohr magnetons per cell
- Formation energy (no corrections): -1548 meV/atom


12.
A relaxed structure of PmSmTiN3. Source: the Alexandria database, functional GGA-PBE.

Geometry as POSCAR:
```
PmSmTiN3
1.0
-2.6809 1.7386 -1.6516
-2.7078 -6.4086 -2.3506
-3.9555 0.2836 6.7190
Sm Pm N Ti
2 2 6 2
direct
0.2500 0.6259 0.1666
0.7500 0.3741 0.8334
0.2500 0.1614 0.1577
0.7500 0.8386 0.8423
0.7500 0.1644 0.5231
0.7500 0.3909 0.1339
0.2500 0.6091 0.8661
0.2500 0.8356 0.4769
0.2500 0.1042 0.8479
0.7500 0.8958 0.1521
0.2500 0.0977 0.5986
0.7500 0.9023 0.4014
```

Calculated values
- Magnetic moment: 0.00 Bohr magnetons per cell
- Formation energy (no corrections): -1278 meV/atom